Below is a geometry-optimized EuDyTlHg structure, with properties calculated at the PBE-GGA level.

POSCAR file:
```
EuDyTlHg
1.0
-0.812 -3.404 -4.161
0.107 -5.373 0.823
-4.598 -2.887 -0.293
Eu Tl Hg Dy
1 1 1 1
direct
0.750 0.750 0.750
0.000 0.000 0.000
0.500 0.500 0.500
0.250 0.250 0.250
```

Calculated values
For the formation enthalpy at 0 K, the calculation gives -0.43 eV per atom. The calculated volume is 28.4 Å³/atom. As for the symmetry: No. 216. The magnetic moment comes out at 7.2 μB/cell. The total energy is -4.816 eV per atom.


Below is a geometry-optimized EuDyHo2 structure, with properties calculated at the PBE-GGA level.

POSCAR file:
```
EuDyHo2
1.0
3.593 0.000 0.000
0.000 3.593 0.000
0.000 0.000 10.264
Dy Ho Eu
1 2 1
direct
0.500 0.500 0.000
0.000 0.000 0.766
0.000 0.000 0.234
0.500 0.500 0.500
```

Calculated values
For the formation enthalpy at 0 K, the calculation gives 0.06 eV per atom. The calculated volume is 33.1 Å³/atom. As for the symmetry: No. 123. The magnetic moment comes out at 7.4 μB/cell. The total energy is -5.947 eV per atom.